# ErZr2Ge2 | Alexandria via LeMat-Bulk | PBE | optimized geometry
data_ErZr2Ge2
_cell_length_a 9.262
_cell_length_b 10.704
_cell_length_c 5.617
_cell_angle_alpha 90.00
_cell_angle_beta 121.05
_cell_angle_gamma 90.00
_space_group_name_H-M_alt 'C 1 2/c 1'
_space_group_IT_number 15
_space_group_name_Hall '-C 2yc'
loop_
_atom_site_label
_atom_site_type_symbol
_atom_site_fract_x
_atom_site_fract_y
_atom_site_fract_z
Er1 Er 0.000 0.109 0.250
Zr1 Zr 0.174 0.399 0.982
Ge1 Ge 0.000 0.174 0.750
Ge2 Ge 0.000 0.378 0.250
# Calculated volume, Å³/cell: 477
# DOS(E_F), states/eV/f.u.: 4.75
# Energy of formation from the pure elements, eV per atom: -0.394
# M_tot, μB per cell: 2.45

# ErZrGe2 | Alexandria via LeMat-Bulk | PBE | optimized geometry
data_ErZrGe2
_cell_length_a 3.9113
_cell_length_b 3.9113
_cell_length_c 20.2551
_cell_angle_alpha 90.00
_cell_angle_beta 90.00
_cell_angle_gamma 120.00
_space_group_name_H-M_alt 'R -3 m'
_space_group_IT_number 166
_space_group_name_Hall '-R 3 2"'
loop_
_atom_site_label
_atom_site_type_symbol
_atom_site_fract_x
_atom_site_fract_y
_atom_site_fract_z
Er1 Er 0.0000 0.0000 0.0000
Zr1 Zr 0.0000 0.0000 0.5000
Ge1 Ge 0.0000 0.0000 0.2450
# Calculated volume, Å³/cell: 268
# Energy relative to the lowest polymorph listed for this composition, kJ/mol of formula units: 35
# DOS(E_F), states/eV/f.u.: 2.19
# Energy of formation from the pure elements, eV per atom: -0.718
# M_tot, μB per cell: 0.00

# ErZrGe2 | Alexandria via LeMat-Bulk | PBE | optimized geometry
data_ErZrGe2
_cell_length_a 5.599
_cell_length_b 5.616
_cell_length_c 10.804
_cell_angle_alpha 90.00
_cell_angle_beta 104.98
_cell_angle_gamma 90.00
_space_group_name_H-M_alt 'P 1 2/c 1'
_space_group_IT_number 13
_space_group_name_Hall '-P 2yc'
loop_
_atom_site_label
_atom_site_type_symbol
_atom_site_fract_x
_atom_site_fract_y
_atom_site_fract_z
Er1 Er 0.197 0.128 0.140
Zr1 Zr 0.313 0.377 0.865
Ge1 Ge 0.168 0.374 0.595
Ge2 Ge 0.331 0.126 0.414
# Calculated volume, Å³/cell: 328
# Energy relative to the lowest polymorph listed for this composition, kJ/mol of formula units: 0
# DOS(E_F), states/eV/f.u.: 1.15
# Energy of formation from the pure elements, eV per atom: -0.810
# M_tot, μB per cell: 0.00

# ErZrGe | Alexandria via LeMat-Bulk | PBE | optimized geometry
data_ErZrGe
_cell_length_a 4.6084
_cell_length_b 4.6084
_cell_length_c 3.8459
_cell_angle_alpha 90.00
_cell_angle_beta 90.00
_cell_angle_gamma 120.00
_space_group_name_H-M_alt 'P 3 m 1'
_space_group_IT_number 156
_space_group_name_Hall 'P 3 -2"'
loop_
_atom_site_label
_atom_site_type_symbol
_atom_site_fract_x
_atom_site_fract_y
_atom_site_fract_z
Er1 Er 0.0000 0.0000 0.0000
Zr1 Zr 0.3333 0.6667 0.5126
Ge1 Ge 0.6667 0.3333 0.3761
# Calculated volume, Å³/cell: 71
# DOS(E_F), states/eV/f.u.: 2.60
# Energy of formation from the pure elements, eV per atom: -0.273
# M_tot, μB per cell: 0.00

# ErZrGe2 | Alexandria via LeMat-Bulk | PBE | optimized geometry
data_ErZrGe2
_cell_length_a 5.631
_cell_length_b 5.631
_cell_length_c 11.268
_cell_angle_alpha 90.00
_cell_angle_beta 90.00
_cell_angle_gamma 90.00
_space_group_name_H-M_alt 'I 41/a m d'
_space_group_IT_number 141
loop_
_space_group_symop_operation_xyz
'x,y,z'
'-x,-y,-z'
'-y+1/4,x+3/4,z+1/4'
'y+1/4,-x+3/4,-z+1/4'
'-x+1/2,-y,z+1/2'
'x+1/2,y,-z+1/2'
'y+1/4,-x+1/4,z+3/4'
'-y+1/4,x+1/4,-z+3/4'
'x,-y,-z'
'-x,y,z'
'-y+1/4,-x+1/4,-z+3/4'
'y+1/4,x+1/4,z+3/4'
'-x+1/2,y,-z+1/2'
'x+1/2,-y,z+1/2'
'y+1/4,x+3/4,-z+1/4'
'-y+1/4,-x+3/4,z+1/4'
'x+1/2,y+1/2,z+1/2'
'-x+1/2,-y+1/2,-z+1/2'
'-y+3/4,x+1/4,z+3/4'
'y+3/4,-x+1/4,-z+3/4'
'-x,-y+1/2,z'
'x,y+1/2,-z'
'y+3/4,-x+3/4,z+1/4'
'-y+3/4,x+3/4,-z+1/4'
'x+1/2,-y+1/2,-z+1/2'
'-x+1/2,y+1/2,z+1/2'
'-y+3/4,-x+3/4,-z+1/4'
'y+3/4,x+3/4,z+1/4'
'-x,y+1/2,-z'
'x,-y+1/2,z'
'y+3/4,x+1/4,-z+3/4'
'-y+3/4,-x+1/4,z+3/4'
loop_
_atom_site_label
_atom_site_type_symbol
_atom_site_fract_x
_atom_site_fract_y
_atom_site_fract_z
Er1 Er 0.000 0.250 0.375
Zr1 Zr 0.000 0.250 0.875
Ge1 Ge 0.000 0.250 0.119
# Calculated volume, Å³/cell: 357
# Energy relative to the lowest polymorph listed for this composition, kJ/mol of formula units: 47
# DOS(E_F), states/eV/f.u.: 3.10
# Energy of formation from the pure elements, eV per atom: -0.689
# M_tot, μB per cell: 0.00

# ErH | Alexandria via LeMat-Bulk | PBE | optimized geometry
data_ErH
_cell_length_a 3.532
_cell_length_b 3.532
_cell_length_c 5.418
_cell_angle_alpha 90.00
_cell_angle_beta 90.00
_cell_angle_gamma 90.00
_space_group_name_H-M_alt 'P 4/n m m'
_space_group_IT_number 129
loop_
_space_group_symop_operation_xyz
'x,y,z'
'-x,-y,-z'
'-y+1/2,x,z'
'y+1/2,-x,-z'
'-x+1/2,-y+1/2,z'
'x+1/2,y+1/2,-z'
'y,-x+1/2,z'
'-y,x+1/2,-z'
'x+1/2,-y,-z'
'-x+1/2,y,z'
'-y,-x,-z'
'y,x,z'
'-x,y+1/2,-z'
'x,-y+1/2,z'
'y+1/2,x+1/2,-z'
'-y+1/2,-x+1/2,z'
loop_
_atom_site_label
_atom_site_type_symbol
_atom_site_fract_x
_atom_site_fract_y
_atom_site_fract_z
Er1 Er 0.250 0.250 0.239
H1 H 0.250 0.750 0.000
# Calculated volume, Å³/cell: 68
# DOS(E_F), states/eV/f.u.: 1.08
# VASP energy, eV/atom: -4.4180
# M_tot, μB per cell: 0.00

- Among the records above, which one has the highest DOS(E_F)?
  ErZr2Ge2

- Which value of calculated volume does entry 3 give?
  328 Å³/cell

- What is the formula in the third record?
  ErZrGe2

- Number 4 is which compound?
  ErZrGe